1.
Entry from Alexandria via LeMat-Bulk: a geometry-optimized Sm2MgAl2Pt5 structure (GGA-PBE).

Cell lengths 10.318, 10.318, 3.484 Å; angles 90.00, 90.00, 90.00 degrees
Atoms (fractional coordinates):
Sm 0.176 0.324 0.000
Sm 0.324 0.824 0.000
Sm 0.676 0.176 0.000
Sm 0.824 0.676 0.000
Mg 0.000 0.000 0.000
Mg 0.500 0.500 0.000
Al 0.125 0.625 0.000
Al 0.375 0.125 0.000
Al 0.625 0.875 0.000
Al 0.875 0.375 0.000
Pt 0.000 0.500 0.500
Pt 0.060 0.792 0.500
Pt 0.208 0.060 0.500
Pt 0.292 0.560 0.500
Pt 0.440 0.292 0.500
Pt 0.500 0.000 0.500
Pt 0.560 0.708 0.500
Pt 0.708 0.440 0.500
Pt 0.792 0.940 0.500
Pt 0.940 0.208 0.500

Values from the calculation:
Symmetry: P4/mbm
Total energy in eV/atom: -5.825
Fermi-level density of states in states/eV/atom: 0.60


2.
Entry from Alexandria via LeMat-Bulk: a geometry-optimized SmMgAl2Pt4 structure (GGA-PBE).

Cell lengths 9.104, 9.104, 9.104 Å; angles 27.40, 27.40, 27.40 degrees
Atoms (fractional coordinates):
Sm 0.000 0.000 0.000
Mg 0.500 0.500 0.500
Al 0.239 0.239 0.239
Al 0.761 0.761 0.761
Pt 0.132 0.132 0.132
Pt 0.401 0.401 0.401
Pt 0.599 0.599 0.599
Pt 0.868 0.868 0.868

Values from the calculation:
Symmetry: R-3m
Total energy in eV/atom: -5.764
Fermi-level density of states in states/eV/atom: 0.49


3.
Entry from Alexandria via LeMat-Bulk: a geometry-optimized SrMgAl2Pt2 structure (GGA-PBE).

Cell lengths 4.414, 4.414, 7.362 Å; angles 90.00, 90.00, 120.00 degrees
Atoms (fractional coordinates):
Sr 0.000 0.000 0.000
Mg 0.000 0.000 0.500
Al 0.333 0.667 0.677
Al 0.667 0.333 0.323
Pt 0.333 0.667 0.314
Pt 0.667 0.333 0.686

Values from the calculation:
Symmetry: P-3m1
Total energy in eV/atom: -4.701
Fermi-level density of states in states/eV/atom: 0.35


4.
Entry from Alexandria via LeMat-Bulk: a geometry-optimized Sr2MgAl3Pt4 structure (GGA-PBE).

Cell lengths 4.434, 4.434, 10.411 Å; angles 90.00, 90.00, 90.00 degrees
Atoms (fractional coordinates):
Sr 0.000 0.500 0.242
Sr 0.500 0.000 0.758
Mg 0.000 0.000 0.500
Al 0.000 0.500 0.882
Al 0.500 0.000 0.118
Al 0.500 0.500 0.500
Pt 0.000 0.000 0.000
Pt 0.000 0.500 0.638
Pt 0.500 0.000 0.362
Pt 0.500 0.500 0.000

Values from the calculation:
Symmetry: P-4m2
Total energy in eV/atom: -4.998
Fermi-level density of states in states/eV/atom: 0.27


5.
Entry from Alexandria via LeMat-Bulk: a geometry-optimized SrMgAl2Pt structure (GGA-PBE).

Cell lengths 4.861, 4.861, 5.060 Å; angles 90.00, 90.00, 90.00 degrees
Atoms (fractional coordinates):
Sr 0.000 0.000 0.000
Mg 0.500 0.500 0.000
Al 0.000 0.500 0.500
Al 0.500 0.000 0.500
Pt 0.500 0.500 0.500

Values from the calculation:
Symmetry: P4/mmm
Total energy in eV/atom: -3.820
Fermi-level density of states in states/eV/atom: 0.48


6.
Entry from Alexandria via LeMat-Bulk: a geometry-optimized Sr2MgAlPt2 structure (GGA-PBE).

Cell lengths 8.729, 8.729, 8.729 Å; angles 138.51, 60.66, 137.82 degrees
Atoms (fractional coordinates):
Sr 0.173 0.247 0.420
Sr 0.327 0.747 0.073
Sr 0.673 0.253 0.927
Sr 0.827 0.753 0.580
Mg 0.250 0.250 0.000
Mg 0.750 0.750 0.000
Al 0.250 0.750 0.500
Al 0.750 0.250 0.500
Pt 0.097 0.727 0.824
Pt 0.403 0.227 0.630
Pt 0.597 0.773 0.370
Pt 0.903 0.273 0.176

Values from the calculation:
Symmetry: Ibam
Total energy in eV/atom: -4.292
Fermi-level density of states in states/eV/atom: 0.67


7.
Entry from Alexandria via LeMat-Bulk: a geometry-optimized Sr2MgAl12Pt3 structure (GGA-PBE).

Cell lengths 8.033, 8.033, 8.033 Å; angles 70.19, 70.19, 70.19 degrees
Atoms (fractional coordinates):
Sr 0.101 0.101 0.101
Sr 0.899 0.899 0.899
Mg 0.500 0.500 0.500
Al 0.140 0.634 0.634
Al 0.244 0.244 0.625
Al 0.244 0.625 0.244
Al 0.366 0.366 0.860
Al 0.366 0.860 0.366
Al 0.375 0.756 0.756
Al 0.625 0.244 0.244
Al 0.634 0.140 0.634
Al 0.634 0.634 0.140
Al 0.756 0.375 0.756
Al 0.756 0.756 0.375
Al 0.860 0.366 0.366
Pt 0.000 0.500 0.500
Pt 0.500 0.000 0.500
Pt 0.500 0.500 0.000

Values from the calculation:
Symmetry: R-3m
Total energy in eV/atom: -3.909
Fermi-level density of states in states/eV/atom: 0.55


8.
Entry from Alexandria via LeMat-Bulk: a geometry-optimized TbMgAl2Pt4 structure (GGA-PBE).

Cell lengths 8.912, 8.912, 8.912 Å; angles 28.07, 28.07, 28.07 degrees
Atoms (fractional coordinates):
Tb 0.000 0.000 0.000
Mg 0.500 0.500 0.500
Al 0.240 0.240 0.240
Al 0.760 0.760 0.760
Pt 0.131 0.131 0.131
Pt 0.400 0.400 0.400
Pt 0.600 0.600 0.600
Pt 0.869 0.869 0.869

Values from the calculation:
Symmetry: R-3m
Total energy in eV/atom: -5.761
Fermi-level density of states in states/eV/atom: 0.49


9.
Entry from Alexandria via LeMat-Bulk: a geometry-optimized TbMgAl2Pt2 structure (GGA-PBE).

Cell lengths 4.415, 4.415, 6.577 Å; angles 90.00, 90.00, 120.00 degrees
Atoms (fractional coordinates):
Tb 0.000 0.000 0.000
Mg 0.000 0.000 0.500
Al 0.333 0.667 0.694
Al 0.667 0.333 0.306
Pt 0.333 0.667 0.280
Pt 0.667 0.333 0.720

Values from the calculation:
Symmetry: P-3m1
Total energy in eV/atom: -5.282
Fermi-level density of states in states/eV/atom: 0.43


10.
Entry from Alexandria via LeMat-Bulk: a geometry-optimized TbMgAlPt structure (GGA-PBE).

Cell lengths 4.819, 4.819, 4.819 Å; angles 60.00, 60.00, 60.00 degrees
Atoms (fractional coordinates):
Tb 0.000 0.000 0.000
Mg 0.500 0.500 0.500
Al 0.250 0.250 0.250
Pt 0.750 0.750 0.750

Values from the calculation:
Symmetry: F-43m
Total energy in eV/atom: -4.662
Fermi-level density of states in states/eV/atom: 0.42


11.
Entry from Alexandria via LeMat-Bulk: a geometry-optimized Tb2MgAl3Pt4 structure (GGA-PBE).

Cell lengths 4.111, 4.111, 11.173 Å; angles 90.00, 90.00, 90.00 degrees
Atoms (fractional coordinates):
Tb 0.000 0.500 0.246
Tb 0.500 0.000 0.754
Mg 0.000 0.000 0.500
Al 0.000 0.500 0.871
Al 0.500 0.000 0.129
Al 0.500 0.500 0.500
Pt 0.000 0.000 0.000
Pt 0.000 0.500 0.648
Pt 0.500 0.000 0.352
Pt 0.500 0.500 0.000

Values from the calculation:
Symmetry: P-4m2
Total energy in eV/atom: -5.674
Fermi-level density of states in states/eV/atom: 0.69


12.
Entry from Alexandria via LeMat-Bulk: a geometry-optimized Th2MgAl3Pt4 structure (GGA-PBE).

Cell lengths 4.290, 4.290, 10.649 Å; angles 90.00, 90.00, 90.00 degrees
Atoms (fractional coordinates):
Th 0.000 0.500 0.243
Th 0.500 0.000 0.757
Mg 0.000 0.000 0.500
Al 0.000 0.500 0.876
Al 0.500 0.000 0.124
Al 0.500 0.500 0.500
Pt 0.000 0.000 0.000
Pt 0.000 0.500 0.644
Pt 0.500 0.000 0.356
Pt 0.500 0.500 0.000

Values from the calculation:
Symmetry: P-4m2
Total energy in eV/atom: -6.215
Fermi-level density of states in states/eV/atom: 0.89


| no. | total magnetic moment (μB per formula unit) |
| --- | --- |
| 1 | 0.00 |
| 2 | 0.00 |
| 3 | 0.00 |
| 4 | 0.00 |
| 5 | 0.00 |
| 6 | 0.00 |
| 7 | 0.00 |
| 8 | 0.00 |
| 9 | 0.00 |
| 10 | 0.00 |
| 11 | 0.00 |
| 12 | 0.00 |